SmEr5Au6 | GGA-PBE | optimized geometry

Values from the calculation:
Energy of formation from the pure elements ... -1003 kJ/mol of formula units
Total magnetic moment ... 0.000 μB/f.u.
Space group ... No. 71
Volume ... 23.1 Å³/atom

Cell and atoms, written as extended XYZ:
```
12
Lattice="-2.5457 3.5500 7.6672 2.5457 -3.5500 7.6672 2.5457 3.5500 -7.6672" Properties=species:S:1:pos:R:3 pbc="T T T"
Sm 0.0000 0.0000 0.0000
Er 2.5457 0.0000 2.5389
Er 0.0000 0.0000 5.0990
Er 0.0000 3.5500 0.0000
Er 0.0000 0.0000 10.2355
Er 0.0000 3.5500 5.1284
Au 2.5457 -1.7352 5.0521
Au 2.5457 1.8590 0.0000
Au 0.0000 1.8148 2.6151
Au 2.5457 1.7352 5.0521
Au 0.0000 1.6910 7.6672
Au 0.0000 5.2852 2.6151
```